DFT (GGA-PBE) results for a relaxed LaFe3S crystal.

```
LaFe3S
1.0
4.247 0.000 0.000
0.000 4.247 0.000
0.000 0.000 4.247
La Fe S
1 3 1
Direct
0.000 0.000 0.000 La
0.000 0.500 0.500 Fe
0.500 0.000 0.500 Fe
0.500 0.500 0.000 Fe
0.500 0.500 0.500 S
```

DFT total energy: -6.7766 eV/atom
symmetry: Pm-3m, No. 221
DOS at the Fermi energy: 6.82 states/eV per cell
total magnetic moment: 0.0002 μB/atom